A plane-wave DFT calculation with PBE+U was carried out for a relaxed Li2Ac2CrO6 crystal.

Calculated values
VASP energy   -6.847 eV/atom
Total magnetization   2.000 μB/f.u.
Space-group type   R-3m

The structure in CIF format:
```
data_Li2Ac2CrO6
_chemical_formula_sum 'Li2 Ac2 Cr1 O6'
_cell_length_a 5.677
_cell_length_b 5.677
_cell_length_c 5.860
_cell_angle_alpha 61.03
_cell_angle_beta 61.03
_cell_angle_gamma 60.00
_space_group_name_H-M_alt 'P 1'
_space_group_IT_number 1
loop_
_space_group_symop_operation_xyz
'x,y,z'
loop_
_atom_site_label
_atom_site_type_symbol
_atom_site_fract_x
_atom_site_fract_y
_atom_site_fract_z
_atom_site_occupancy
Li1 Li 0.431 0.431 0.706 1
Li2 Li 0.569 0.569 0.294 1
O1 O 0.763 0.763 0.245 1
O2 O 0.237 0.237 0.755 1
O3 O 0.229 0.763 0.245 1
O4 O 0.237 0.771 0.755 1
O5 O 0.771 0.237 0.755 1
O6 O 0.763 0.229 0.245 1
Ac1 Ac 0.769 0.769 0.692 1
Ac2 Ac 0.231 0.231 0.308 1
Cr1 Cr 0.000 0.000 0.000 1
```